DFT (PBE) results for a relaxed structure of HgW.

Unit cell a=2.931 b=2.931 c=14.951 alpha=90.00 beta=90.00 gamma=120.00
Atoms (fractional coordinates):
Hg 0.000 0.000 0.000
Hg 0.000 0.000 0.329
Hg 0.667 0.333 0.512
W 0.000 0.000 0.680
W 0.667 0.333 0.165
W 0.667 0.333 0.833

Calculated values
space group	P3m1
distance to the lowest polymorph of the same formula	222	meV per atom

=====

DFT (PBE) results for a relaxed structure of TlGa2Te.

Unit cell a=4.058 b=4.058 c=23.381 alpha=90.00 beta=90.00 gamma=120.00
Atoms (fractional coordinates):
Tl 0.000 0.000 0.000
Tl 0.333 0.667 0.667
Tl 0.667 0.333 0.333
Ga 0.000 0.000 0.241
Ga 0.000 0.000 0.422
Ga 0.333 0.667 0.089
Ga 0.333 0.667 0.907
Ga 0.667 0.333 0.574
Ga 0.667 0.333 0.756
Te 0.000 0.000 0.830
Te 0.333 0.667 0.497
Te 0.667 0.333 0.164

Calculated values
space group	R3m
distance to the lowest polymorph of the same formula	6	meV per atom

=====

DFT (PBE) results for a relaxed structure of CsLiPN2.

Unit cell a=5.541 b=5.541 c=8.869 alpha=100.51 beta=100.51 gamma=36.54
Atoms (fractional coordinates):
Cs 0.155 0.155 0.143
Cs 0.845 0.845 0.857
Li 0.187 0.187 0.541
Li 0.813 0.813 0.459
P 0.452 0.452 0.360
P 0.548 0.548 0.640
N 0.091 0.091 0.721
N 0.392 0.392 0.536
N 0.608 0.608 0.464
N 0.909 0.909 0.279

Calculated values
space group	C2/m
DFT total energy	-5.156	eV/atom

=====

DFT (PBE) results for a relaxed structure of RhIN2.

Unit cell a=5.790 b=5.790 c=8.582 alpha=90.00 beta=90.00 gamma=90.00
Atoms (fractional coordinates):
Rh 0.000 0.000 0.000
Rh 0.000 0.500 0.250
Rh 0.500 0.000 0.750
Rh 0.500 0.500 0.500
I 0.000 0.000 0.500
I 0.000 0.500 0.750
I 0.500 0.000 0.250
I 0.500 0.500 0.000
N 0.101 0.250 0.125
N 0.250 0.601 0.375
N 0.250 0.899 0.875
N 0.399 0.250 0.625
N 0.601 0.750 0.625
N 0.750 0.101 0.875
N 0.750 0.399 0.375
N 0.899 0.750 0.125

Calculated values
space group	I-42d
distance to the lowest polymorph of the same formula	179	meV per atom

=====

Q: What is the formula in the third record?
A: CsLiPN2